First-principles (GGA-PBE) data for a relaxed structure of Y2Er5Tm3, as listed in the Alexandria database.

Output
- DFT total energy: -4.697 eV per atom
- Mass density: 7.8 g cm⁻³
- Total moment: 0.00 μB/f.u.

Cell and atoms, written as CIF:
```
data_Y2Er5Tm3
_chemical_formula_sum 'Y8 Er20 Tm12'
_cell_length_a 10.769
_cell_length_b 14.171
_cell_length_c 9.564
_cell_angle_alpha 90.00
_cell_angle_beta 117.58
_cell_angle_gamma 90.00
_symmetry_space_group_name_H-M 'C 1 2/c 1'
_symmetry_Int_Tables_number 15
loop_
_symmetry_equiv_pos_as_xyz
'x,y,z'
'-x,-y,-z'
'-x,y,-z+1/2'
'x,-y,z+1/2'
'x+1/2,y+1/2,z'
'-x+1/2,-y+1/2,-z'
'-x+1/2,y+1/2,-z+1/2'
'x+1/2,-y+1/2,z+1/2'
loop_
_atom_site_label
_atom_site_fract_x
_atom_site_fract_y
_atom_site_fract_z
_atom_site_occupancy
Y1 0.171 0.123 0.043 1
Er1 0.000 0.036 0.250 1
Er2 0.000 0.253 0.250 1
Er3 0.000 0.498 0.250 1
Er4 0.197 0.121 0.674 1
Tm1 0.000 0.276 0.750 1
Tm2 0.174 0.373 0.579 1
```

---

First-principles (GGA-PBE) data for a relaxed structure of Y2Er3Tm9, as listed in the Alexandria database.

Output
- DFT total energy: -4.648 eV per atom
- Mass density: 8.4 g cm⁻³
- Total moment: 0.00 μB/f.u.

Cell and atoms, written as CIF:
```
data_Y2Er3Tm9
_chemical_formula_sum 'Y2 Er3 Tm9'
_cell_length_a 6.118
_cell_length_b 8.629
_cell_length_c 8.631
_cell_angle_alpha 79.54
_cell_angle_beta 77.49
_cell_angle_gamma 87.47
_symmetry_space_group_name_H-M 'P -1'
_symmetry_Int_Tables_number 2
loop_
_symmetry_equiv_pos_as_xyz
'x,y,z'
'-x,-y,-z'
loop_
_atom_site_label
_atom_site_fract_x
_atom_site_fract_y
_atom_site_fract_z
_atom_site_occupancy
Y1 0.045 0.031 0.296 1
Er1 0.248 0.618 0.726 1
Er2 0.500 0.000 0.000 1
Tm1 0.012 0.748 0.083 1
Tm2 0.154 0.333 0.505 1
Tm3 0.311 0.384 0.102 1
Tm4 0.411 0.687 0.304 1
Tm5 0.500 0.000 0.500 1
```

---

First-principles (GGA-PBE) data for a relaxed structure of Y4ErTm5, as listed in the Alexandria database.

Output
- DFT total energy: -5.220 eV per atom
- Mass density: 7.3 g cm⁻³
- Total moment: 0.00 μB/f.u.

Cell and atoms, written as CIF:
```
data_Y4ErTm5
_chemical_formula_sum 'Y4 Er1 Tm5'
_cell_length_a 3.532
_cell_length_b 6.701
_cell_length_c 13.804
_cell_angle_alpha 97.28
_cell_angle_beta 90.05
_cell_angle_gamma 104.82
_symmetry_space_group_name_H-M 'P -1'
_symmetry_Int_Tables_number 2
loop_
_symmetry_equiv_pos_as_xyz
'x,y,z'
'-x,-y,-z'
loop_
_atom_site_label
_atom_site_fract_x
_atom_site_fract_y
_atom_site_fract_z
_atom_site_occupancy
Y1 0.120 0.202 0.307 1
Y2 0.180 0.328 0.713 1
Er1 0.000 0.500 0.500 1
Tm1 0.185 0.374 0.083 1
Tm2 0.463 0.918 0.113 1
Tm3 0.500 0.000 0.500 1
```

---

First-principles (GGA-PBE) data for a relaxed structure of Y5ErTm2, as listed in the Alexandria database.

Output
- DFT total energy: -5.571 eV per atom
- Mass density: 6.2 g cm⁻³
- Total moment: 0.00 μB/f.u.

Cell and atoms, written as CIF:
```
data_Y5ErTm2
_chemical_formula_sum 'Y20 Er4 Tm8'
_cell_length_a 6.595
_cell_length_b 16.490
_cell_length_c 9.427
_cell_angle_alpha 90.00
_cell_angle_beta 95.73
_cell_angle_gamma 90.00
_symmetry_space_group_name_H-M 'C 1 2/c 1'
_symmetry_Int_Tables_number 15
loop_
_symmetry_equiv_pos_as_xyz
'x,y,z'
'-x,-y,-z'
'-x,y,-z+1/2'
'x,-y,z+1/2'
'x+1/2,y+1/2,z'
'-x+1/2,-y+1/2,-z'
'-x+1/2,y+1/2,-z+1/2'
'x+1/2,-y+1/2,z+1/2'
loop_
_atom_site_label
_atom_site_fract_x
_atom_site_fract_y
_atom_site_fract_z
_atom_site_occupancy
Y1 0.000 0.152 0.250 1
Y2 0.036 0.250 0.915 1
Y3 0.168 0.382 0.391 1
Er1 0.000 0.436 0.750 1
Tm1 0.172 0.053 0.920 1
```

---

First-principles (GGA-PBE) data for a relaxed structure of Y9Er4Tm11, as listed in the Alexandria database.

Output
- DFT total energy: -5.191 eV per atom
- Mass density: 7.4 g cm⁻³
- Total moment: 1.37 μB/f.u.

Cell and atoms, written as CIF:
```
data_Y9Er4Tm11
_chemical_formula_sum 'Y18 Er8 Tm22'
_cell_length_a 16.538
_cell_length_b 24.943
_cell_length_c 3.635
_cell_angle_alpha 90.00
_cell_angle_beta 90.00
_cell_angle_gamma 90.00
_symmetry_space_group_name_H-M 'C m m m'
_symmetry_Int_Tables_number 65
_symmetry_space_group_name_Hall '-C 2 2'
loop_
_atom_site_label
_atom_site_fract_x
_atom_site_fract_y
_atom_site_fract_z
_atom_site_occupancy
Y1 0.000 0.000 0.000 1
Y2 0.103 0.234 0.000 1
Y3 0.142 0.427 0.000 1
Er1 0.155 0.101 0.000 1
Tm1 0.000 0.133 0.500 1
Tm2 0.000 0.341 0.500 1
Tm3 0.000 0.500 0.500 1
Tm4 0.207 0.000 0.500 1
Tm5 0.226 0.319 0.500 1
```

---

First-principles (GGA-PBE) data for a relaxed structure of Y7Er2Tm3, as listed in the Alexandria database.

Output
- DFT total energy: -5.555 eV per atom
- Mass density: 6.4 g cm⁻³
- Total moment: 0.01 μB/f.u.

Cell and atoms, written as CIF:
```
data_Y7Er2Tm3
_chemical_formula_sum 'Y7 Er2 Tm3'
_cell_length_a 5.751
_cell_length_b 3.568
_cell_length_c 18.571
_cell_angle_alpha 90.00
_cell_angle_beta 93.78
_cell_angle_gamma 90.00
_symmetry_space_group_name_H-M 'P 1 2/m 1'
_symmetry_Int_Tables_number 10
loop_
_symmetry_equiv_pos_as_xyz
'x,y,z'
'-x,-y,-z'
'-x,y,-z'
'x,-y,z'
loop_
_atom_site_label
_atom_site_fract_x
_atom_site_fract_y
_atom_site_fract_z
_atom_site_occupancy
Y1 0.000 0.000 0.000 1
Y2 0.183 0.500 0.182 1
Y3 0.258 0.500 0.536 1
Y4 0.321 0.000 0.856 1
Er1 0.294 0.500 0.704 1
Tm1 0.220 0.000 0.367 1
Tm2 0.500 0.500 0.000 1
```

---

First-principles (GGA-PBE) data for a relaxed structure of Y7Er2Tm3, as listed in the Alexandria database.

Output
- DFT total energy: -5.566 eV per atom
- Mass density: 6.4 g cm⁻³
- Total moment: 0.00 μB/f.u.

Cell and atoms, written as CIF:
```
data_Y7Er2Tm3
_chemical_formula_sum 'Y7 Er2 Tm3'
_cell_length_a 6.303
_cell_length_b 3.501
_cell_length_c 17.343
_cell_angle_alpha 90.00
_cell_angle_beta 96.09
_cell_angle_gamma 90.00
_symmetry_space_group_name_H-M 'P 1 2/m 1'
_symmetry_Int_Tables_number 10
loop_
_symmetry_equiv_pos_as_xyz
'x,y,z'
'-x,-y,-z'
'-x,y,-z'
'x,-y,z'
loop_
_atom_site_label
_atom_site_fract_x
_atom_site_fract_y
_atom_site_fract_z
_atom_site_occupancy
Y1 0.000 0.000 0.000 1
Y2 0.225 0.500 0.170 1
Y3 0.256 0.500 0.498 1
Y4 0.276 0.000 0.834 1
Er1 0.062 0.500 0.673 1
Tm1 0.450 0.000 0.343 1
Tm2 0.500 0.500 0.000 1
```

---

First-principles (GGA-PBE) data for a relaxed structure of Y2ErTm2, as listed in the Alexandria database.

Output
- DFT total energy: -5.260 eV per atom
- Mass density: 7.3 g cm⁻³
- Total moment: 0.00 μB/f.u.

Cell and atoms, written as CIF:
```
data_Y2ErTm2
_chemical_formula_sum 'Y8 Er4 Tm8'
_cell_length_a 14.533
_cell_length_b 7.052
_cell_length_c 6.103
_cell_angle_alpha 90.00
_cell_angle_beta 98.09
_cell_angle_gamma 90.00
_symmetry_space_group_name_H-M 'P 1 21/c 1'
_symmetry_Int_Tables_number 14
loop_
_symmetry_equiv_pos_as_xyz
'x,y,z'
'-x,-y,-z'
'-x,y+1/2,-z+1/2'
'x,-y+1/2,z+1/2'
loop_
_atom_site_label
_atom_site_fract_x
_atom_site_fract_y
_atom_site_fract_z
_atom_site_occupancy
Y1 0.100 0.125 0.451 1
Y2 0.301 0.625 0.851 1
Er1 0.301 0.125 0.852 1
Tm1 0.100 0.625 0.451 1
Tm2 0.500 0.125 0.249 1
```

---

First-principles (GGA-PBE) data for a relaxed structure of Y2Er3Tm4, as listed in the Alexandria database.

Output
- DFT total energy: -4.839 eV per atom
- Mass density: 8.1 g cm⁻³
- Total moment: 0.00 μB/f.u.

Cell and atoms, written as CIF:
```
data_Y2Er3Tm4
_chemical_formula_sum 'Y8 Er12 Tm16'
_cell_length_a 16.013
_cell_length_b 11.449
_cell_length_c 6.070
_cell_angle_alpha 90.00
_cell_angle_beta 95.89
_cell_angle_gamma 90.00
_symmetry_space_group_name_H-M 'C 1 2/c 1'
_symmetry_Int_Tables_number 15
loop_
_symmetry_equiv_pos_as_xyz
'x,y,z'
'-x,-y,-z'
'-x,y,-z+1/2'
'x,-y,z+1/2'
'x+1/2,y+1/2,z'
'-x+1/2,-y+1/2,-z'
'-x+1/2,y+1/2,-z+1/2'
'x+1/2,-y+1/2,z+1/2'
loop_
_atom_site_label
_atom_site_fract_x
_atom_site_fract_y
_atom_site_fract_z
_atom_site_occupancy
Y1 0.122 0.142 0.320 1
Er1 0.000 0.098 0.750 1
Er2 0.166 0.405 0.589 1
Tm1 0.046 0.359 0.014 1
Tm2 0.215 0.143 0.846 1
```

---

First-principles (GGA-PBE) data for a relaxed structure of Y2ErTm3, as listed in the Alexandria database.

Output
- DFT total energy: -5.138 eV per atom
- Mass density: 7.6 g cm⁻³
- Total moment: 0.00 μB/f.u.

Cell and atoms, written as CIF:
```
data_Y2ErTm3
_chemical_formula_sum 'Y8 Er4 Tm12'
_cell_length_a 10.622
_cell_length_b 6.131
_cell_length_c 11.372
_cell_angle_alpha 90.00
_cell_angle_beta 90.00
_cell_angle_gamma 90.00
_symmetry_space_group_name_H-M 'C m c m'
_symmetry_Int_Tables_number 63
_symmetry_space_group_name_Hall '-C 2c 2'
loop_
_atom_site_label
_atom_site_fract_x
_atom_site_fract_y
_atom_site_fract_z
_atom_site_occupancy
Y1 0.167 0.166 0.250 1
Er1 0.000 0.333 0.750 1
Tm1 0.000 0.000 0.000 1
Tm2 0.166 0.500 0.000 1
```

---

First-principles (GGA-PBE) data for a relaxed structure of Y7Er2Tm4, as listed in the Alexandria database.

Output
- DFT total energy: -5.367 eV per atom
- Mass density: 6.5 g cm⁻³
- Total moment: 0.00 μB/f.u.

Cell and atoms, written as CIF:
```
data_Y7Er2Tm4
_chemical_formula_sum 'Y7 Er2 Tm4'
_cell_length_a 6.0568
_cell_length_b 6.0568
_cell_length_c 13.1283
_cell_angle_alpha 90.00
_cell_angle_beta 90.00
_cell_angle_gamma 120.00
_symmetry_space_group_name_H-M 'P -3 1 m'
_symmetry_Int_Tables_number 162
_symmetry_space_group_name_Hall '-P 3 2'
loop_
_atom_site_label
_atom_site_fract_x
_atom_site_fract_y
_atom_site_fract_z
_atom_site_occupancy
Y1 0.0000 0.0000 0.0000 1
Y2 0.0000 0.3582 0.2179 1
Er1 0.3333 0.6667 0.0000 1
Tm1 0.0000 0.0000 0.3943 1
Tm2 0.3333 0.6667 0.5000 1
```

---

First-principles (GGA-PBE) data for a relaxed structure of Y5ErTm5, as listed in the Alexandria database.

Output
- DFT total energy: -5.095 eV per atom
- Mass density: 6.8 g cm⁻³
- Total moment: 1.09 μB/f.u.

Cell and atoms, written as CIF:
```
data_Y5ErTm5
_chemical_formula_sum 'Y10 Er2 Tm10'
_cell_length_a 18.745
_cell_length_b 5.874
_cell_length_c 6.895
_cell_angle_alpha 90.00
_cell_angle_beta 111.33
_cell_angle_gamma 90.00
_symmetry_space_group_name_H-M 'C 1 2/m 1'
_symmetry_Int_Tables_number 12
loop_
_symmetry_equiv_pos_as_xyz
'x,y,z'
'-x,-y,-z'
'-x,y,-z'
'x,-y,z'
'x+1/2,y+1/2,z'
'-x+1/2,-y+1/2,-z'
'-x+1/2,y+1/2,-z'
'x+1/2,-y+1/2,z'
loop_
_atom_site_label
_atom_site_fract_x
_atom_site_fract_y
_atom_site_fract_z
_atom_site_occupancy
Y1 0.000 0.000 0.000 1
Y2 0.179 0.500 0.425 1
Y3 0.179 0.500 0.933 1
Er1 0.000 0.500 0.000 1
Tm1 0.000 0.500 0.500 1
Tm2 0.122 0.000 0.624 1
Tm3 0.168 0.000 0.169 1
```

---

First-principles (GGA-PBE) data for a relaxed structure of Y12Er5Tm2, as listed in the Alexandria database.

Output
- DFT total energy: -5.628 eV per atom
- Mass density: 6.1 g cm⁻³
- Total moment: 0.00 μB/f.u.

Cell and atoms, written as CIF:
```
data_Y12Er5Tm2
_chemical_formula_sum 'Y24 Er10 Tm4'
_cell_length_a 15.596
_cell_length_b 9.236
_cell_length_c 8.537
_cell_angle_alpha 90.00
_cell_angle_beta 91.11
_cell_angle_gamma 90.00
_symmetry_space_group_name_H-M 'C 1 2/m 1'
_symmetry_Int_Tables_number 12
loop_
_symmetry_equiv_pos_as_xyz
'x,y,z'
'-x,-y,-z'
'-x,y,-z'
'x,-y,z'
'x+1/2,y+1/2,z'
'-x+1/2,-y+1/2,-z'
'-x+1/2,y+1/2,-z'
'x+1/2,-y+1/2,z'
loop_
_atom_site_label
_atom_site_fract_x
_atom_site_fract_y
_atom_site_fract_z
_atom_site_occupancy
Y1 0.058 0.000 0.334 1
Y2 0.087 0.500 0.881 1
Y3 0.127 0.193 0.664 1
Y4 0.153 0.319 0.239 1
Er1 0.000 0.500 0.500 1
Er2 0.199 0.000 0.014 1
Er3 0.232 0.500 0.573 1
Tm1 0.000 0.175 0.000 1
```

---

First-principles (GGA-PBE) data for a relaxed structure of YEr7Tm5, as listed in the Alexandria database.

Output
- DFT total energy: -4.418 eV per atom
- Mass density: 8.4 g cm⁻³
- Total moment: 0.04 μB/f.u.

Cell and atoms, written as CIF:
```
data_YEr7Tm5
_chemical_formula_sum 'Y2 Er14 Tm10'
_cell_length_a 6.596
_cell_length_b 11.081
_cell_length_c 11.358
_cell_angle_alpha 90.00
_cell_angle_beta 90.00
_cell_angle_gamma 90.00
_symmetry_space_group_name_H-M 'I m m 2'
_symmetry_Int_Tables_number 44
loop_
_symmetry_equiv_pos_as_xyz
'x,y,z'
'-x,-y,z'
'-x,y,z'
'x,-y,z'
'x+1/2,y+1/2,z+1/2'
'-x+1/2,-y+1/2,z+1/2'
'-x+1/2,y+1/2,z+1/2'
'x+1/2,-y+1/2,z+1/2'
loop_
_atom_site_label
_atom_site_fract_x
_atom_site_fract_y
_atom_site_fract_z
_atom_site_occupancy
Y1 0.000 0.000 0.000 1
Er1 0.000 0.000 0.311 1
Er2 0.000 0.000 0.616 1
Er3 0.000 0.326 0.553 1
Er4 0.000 0.331 0.053 1
Er5 0.000 0.500 0.305 1
Tm1 0.000 0.500 0.799 1
Tm2 0.234 0.228 0.804 1
```

---

First-principles (GGA-PBE) data for a relaxed structure of Y6ErTm5, as listed in the Alexandria database.

Output
- DFT total energy: -5.447 eV per atom
- Mass density: 6.9 g cm⁻³
- Total moment: 0.00 μB/f.u.

Cell and atoms, written as CIF:
```
data_Y6ErTm5
_chemical_formula_sum 'Y6 Er1 Tm5'
_cell_length_a 4.996
_cell_length_b 9.970
_cell_length_c 7.906
_cell_angle_alpha 90.00
_cell_angle_beta 108.37
_cell_angle_gamma 90.00
_symmetry_space_group_name_H-M 'P 1 2/m 1'
_symmetry_Int_Tables_number 10
loop_
_symmetry_equiv_pos_as_xyz
'x,y,z'
'-x,-y,-z'
'-x,y,-z'
'x,-y,z'
loop_
_atom_site_label
_atom_site_fract_x
_atom_site_fract_y
_atom_site_fract_z
_atom_site_occupancy
Y1 0.000 0.250 0.000 1
Y2 0.333 0.250 0.667 1
Er1 0.500 0.000 0.000 1
Tm1 0.167 0.000 0.334 1
Tm2 0.167 0.500 0.333 1
Tm3 0.500 0.500 0.000 1
```

---

First-principles (GGA-PBE) data for a relaxed structure of Y9Er4Tm, as listed in the Alexandria database.

Output
- DFT total energy: -5.610 eV per atom
- Mass density: 6.0 g cm⁻³
- Total moment: 0.00 μB/f.u.

Cell and atoms, written as CIF:
```
data_Y9Er4Tm
_chemical_formula_sum 'Y18 Er8 Tm2'
_cell_length_a 9.6793
_cell_length_b 9.6793
_cell_length_c 11.2553
_cell_angle_alpha 90.00
_cell_angle_beta 90.00
_cell_angle_gamma 120.00
_symmetry_space_group_name_H-M 'P 63/m m c'
_symmetry_Int_Tables_number 194
_symmetry_space_group_name_Hall '-P 6c 2c'
loop_
_atom_site_label
_atom_site_fract_x
_atom_site_fract_y
_atom_site_fract_z
_atom_site_occupancy
Y1 0.0804 0.5402 0.2500 1
Y2 0.2092 0.4183 0.5253 1
Er1 0.0000 0.0000 0.0000 1
Er2 0.1102 0.2204 0.2500 1
Tm1 0.3333 0.6667 0.7500 1
```

---

First-principles (GGA-PBE) data for a relaxed structure of Y4Er6Tm19, as listed in the Alexandria database.

Output
- DFT total energy: -4.360 eV per atom
- Mass density: 8.1 g cm⁻³
- Total moment: 0.01 μB/f.u.

Cell and atoms, written as CIF:
```
data_Y4Er6Tm19
_chemical_formula_sum 'Y8 Er12 Tm38'
_cell_length_a 12.339
_cell_length_b 12.339
_cell_length_c 12.339
_cell_angle_alpha 90.00
_cell_angle_beta 90.00
_cell_angle_gamma 90.00
_symmetry_space_group_name_H-M 'I 2 3'
_symmetry_Int_Tables_number 197
_symmetry_space_group_name_Hall 'I 2 2 3'
loop_
_atom_site_label
_atom_site_fract_x
_atom_site_fract_y
_atom_site_fract_z
_atom_site_occupancy
Y1 0.178 0.178 0.822 1
Er1 0.000 0.370 0.500 1
Tm1 0.000 0.000 0.000 1
Tm2 0.000 0.000 0.264 1
Tm3 0.064 0.261 0.274 1
```